DFT (PBE) results for a geometry-optimized Er2Tl2In structure.

Unit cell a=6.3520 b=6.3520 c=10.6390 alpha=95.70 beta=95.70 gamma=131.86
Fractional positions:
Er 0.4031 0.5969 0.5000
Er 0.1531 0.8469 0.0000
Er 0.0969 0.9031 0.5000
Er 0.8469 0.1531 0.0000
Tl 0.1250 0.3750 0.7500
Tl 0.6250 0.3750 0.2500
Tl 0.6250 0.3750 0.7500
Tl 0.6250 0.8750 0.2500
In 0.7500 0.2500 0.5000
In 0.5000 0.5000 0.0000

Output
Space group: Fddd, No. 70
Total moment in μB per formula unit: 0.00
ΔE to the lowest computed polymorph in eV per atom: 0.2603
V in Å³ per cell: 310.09
Energy of formation in eV per atom: 0.081
Uncorrected energy in eV per atom: -3.24